Entry A
{
  "formula": "BaAc2Zn",
  "functional": "PBE",
  "state": "optimized geometry",
  "crystal_system": "trigonal",
  "vol_a3_per_cell": 170.5,
  "spacegroup": "R3m, No. 160",
  "density_g_cm3": 6.39,
  "lattice": [[2.057, 1.188, 11.629], [-2.057, 1.188, 11.629], [0.000, -2.376, 11.629]],
  "species": ["Ba", "Ac", "Ac", "Zn"],
  "frac_coords": [[0.000, 0.000, 0.000], [0.230, 0.230, 0.230], [0.435, 0.435, 0.435], [0.833, 0.833, 0.833]]
}

Entry B
{
  "formula": "BaAc2Zn",
  "functional": "PBE",
  "state": "optimized geometry",
  "crystal_system": "tetragonal",
  "vol_a3_per_cell": 164.2,
  "spacegroup": "P4/mmm, No. 123",
  "density_g_cm3": 6.64,
  "lattice": [[4.009, 0.000, 0.000], [0.000, 4.009, 0.000], [0.000, 0.000, 10.217]],
  "species": ["Ba", "Ac", "Ac", "Zn"],
  "frac_coords": [[0.000, 0.000, 0.000], [0.500, 0.500, 0.321], [0.500, 0.500, 0.679], [0.000, 0.000, 0.500]]
}

Entry C
{
  "formula": "BaAc2Zn",
  "functional": "PBE",
  "state": "optimized geometry",
  "crystal_system": "trigonal",
  "vol_a3_per_cell": 174.2,
  "spacegroup": "R-3m, No. 166",
  "density_g_cm3": 6.26,
  "lattice": [[2.017, 1.165, 12.359], [-2.017, 1.165, 12.359], [0.000, -2.329, 12.359]],
  "species": ["Ba", "Ac", "Ac", "Zn"],
  "frac_coords": [[0.000, 0.000, 0.000], [0.107, 0.107, 0.107], [0.893, 0.893, 0.893], [0.500, 0.500, 0.500]]
}

Which of them is most stable, and which least? Most stable: entry B; least stable: entry C.